Entry 1:
HfZrAl2Ag2 after structural relaxation, computed with PBE-GGA.

a = 8.9024 Å, b = 4.4495 Å, c = 13.3540 Å
α = 90.00°, β = 109.46°, γ = 90.00°
Fractional positions:
Hf (0.0000, 0.0000, 0.0000)
Hf (0.1248, 0.5000, 0.7501)
Hf (0.3739, 0.5000, 0.2490)
Hf (0.8745, 0.5000, 0.2492)
Zr (0.2494, 0.0000, 0.4991)
Zr (0.4991, 0.0000, 0.9993)
Zr (0.6241, 0.5000, 0.7493)
Zr (0.7491, 0.0000, 0.4992)
Al (0.1238, 0.0000, 0.2483)
Al (0.2487, 0.5000, 0.9996)
Al (0.3740, 0.0000, 0.7502)
Al (0.4992, 0.5000, 0.4989)
Al (0.6244, 0.0000, 0.2493)
Al (0.7507, 0.5000, 0.0005)
Al (0.8754, 0.0000, 0.7499)
Al (0.9990, 0.5000, 0.4987)
Ag (0.0621, 0.5000, 0.1244)
Ag (0.1848, 0.0000, 0.8741)
Ag (0.3102, 0.5000, 0.6253)
Ag (0.4356, 0.0000, 0.3722)
Ag (0.5626, 0.5000, 0.1261)
Ag (0.6897, 0.0000, 0.8757)
Ag (0.8145, 0.5000, 0.6254)
Ag (0.9360, 0.0000, 0.3723)



Entry 2:
Al2AgHg after structural relaxation, computed with PBE-GGA.

a = 6.7736 Å, b = 6.7736 Å, c = 6.7736 Å
α = 90.00°, β = 90.00°, γ = 90.00°
Fractional positions:
Al (0.0000, 0.0000, 0.0000)
Al (0.0000, 0.5000, 0.5000)
Al (0.2500, 0.2500, 0.2500)
Al (0.2500, 0.7500, 0.7500)
Al (0.5000, 0.0000, 0.5000)
Al (0.5000, 0.5000, 0.0000)
Al (0.7500, 0.2500, 0.7500)
Al (0.7500, 0.7500, 0.2500)
Ag (0.2500, 0.2500, 0.7500)
Ag (0.2500, 0.7500, 0.2500)
Ag (0.7500, 0.2500, 0.2500)
Ag (0.7500, 0.7500, 0.7500)
Hg (0.0000, 0.0000, 0.5000)
Hg (0.0000, 0.5000, 0.0000)
Hg (0.5000, 0.0000, 0.0000)
Hg (0.5000, 0.5000, 0.5000)



Entry 3:
AlAg2Hg after structural relaxation, computed with PBE-GGA.

a = 6.6442 Å, b = 6.6442 Å, c = 6.6442 Å
α = 90.00°, β = 90.00°, γ = 90.00°
Fractional positions:
Al (0.0000, 0.0000, 0.0000)
Al (0.0000, 0.5000, 0.5000)
Al (0.5000, 0.0000, 0.5000)
Al (0.5000, 0.5000, 0.0000)
Ag (0.0000, 0.0000, 0.5000)
Ag (0.0000, 0.5000, 0.0000)
Ag (0.2500, 0.2500, 0.7500)
Ag (0.2500, 0.7500, 0.2500)
Ag (0.5000, 0.0000, 0.0000)
Ag (0.5000, 0.5000, 0.5000)
Ag (0.7500, 0.2500, 0.2500)
Ag (0.7500, 0.7500, 0.7500)
Hg (0.2500, 0.2500, 0.2500)
Hg (0.2500, 0.7500, 0.7500)
Hg (0.7500, 0.2500, 0.7500)
Hg (0.7500, 0.7500, 0.2500)



Entry 4:
AlAgHg2 after structural relaxation, computed with PBE-GGA.

a = 6.9641 Å, b = 6.9641 Å, c = 6.9641 Å
α = 90.00°, β = 90.00°, γ = 90.00°
Fractional positions:
Al (0.0000, 0.0000, 0.0000)
Al (0.0000, 0.5000, 0.5000)
Al (0.5000, 0.0000, 0.5000)
Al (0.5000, 0.5000, 0.0000)
Ag (0.2500, 0.2500, 0.2500)
Ag (0.2500, 0.7500, 0.7500)
Ag (0.7500, 0.2500, 0.7500)
Ag (0.7500, 0.7500, 0.2500)
Hg (0.0000, 0.0000, 0.5000)
Hg (0.0000, 0.5000, 0.0000)
Hg (0.2500, 0.2500, 0.7500)
Hg (0.2500, 0.7500, 0.2500)
Hg (0.5000, 0.0000, 0.0000)
Hg (0.5000, 0.5000, 0.5000)
Hg (0.7500, 0.2500, 0.2500)
Hg (0.7500, 0.7500, 0.7500)



Entry 5:
Li4Al2AgHg after structural relaxation, computed with PBE-GGA.

a = 4.4672 Å, b = 4.4672 Å, c = 6.3203 Å
α = 90.00°, β = 90.00°, γ = 90.00°
Fractional positions:
Li (0.0000, 0.0000, 0.0000)
Li (0.0000, 0.5000, 0.7466)
Li (0.5000, 0.0000, 0.2534)
Li (0.5000, 0.5000, 0.5000)
Al (0.0000, 0.5000, 0.2613)
Al (0.5000, 0.0000, 0.7387)
Ag (0.0000, 0.0000, 0.5000)
Hg (0.5000, 0.5000, 0.0000)



Entry 6:
Na4Al2AgHg after structural relaxation, computed with PBE-GGA.

a = 4.9038 Å, b = 4.9038 Å, c = 6.9443 Å
α = 90.00°, β = 90.00°, γ = 90.00°
Fractional positions:
Na (0.0000, 0.0000, 0.0000)
Na (0.0000, 0.5000, 0.7465)
Na (0.5000, 0.0000, 0.2535)
Na (0.5000, 0.5000, 0.5000)
Al (0.0000, 0.5000, 0.2592)
Al (0.5000, 0.0000, 0.7408)
Ag (0.0000, 0.0000, 0.5000)
Hg (0.5000, 0.5000, 0.0000)



Entry 7:
HoAl2Ag2 after structural relaxation, computed with PBE-GGA.

a = 4.2629 Å, b = 4.2629 Å, c = 10.8872 Å
α = 90.00°, β = 90.00°, γ = 90.00°
Fractional positions:
Ho (0.2500, 0.2500, 0.2488)
Ho (0.7500, 0.7500, 0.7512)
Al (0.2500, 0.2500, 0.6368)
Al (0.2500, 0.7500, 0.0000)
Al (0.7500, 0.2500, 0.0000)
Al (0.7500, 0.7500, 0.3632)
Ag (0.2500, 0.2500, 0.8634)
Ag (0.2500, 0.7500, 0.5000)
Ag (0.7500, 0.2500, 0.5000)
Ag (0.7500, 0.7500, 0.1366)



Entry 8:
HoAl2Ag2 after structural relaxation, computed with PBE-GGA.

a = 4.1373 Å, b = 4.1373 Å, c = 11.6155 Å
α = 90.00°, β = 90.00°, γ = 90.00°
Fractional positions:
Ho (0.0000, 0.0000, 0.0000)
Ho (0.5000, 0.5000, 0.5000)
Al (0.0000, 0.5000, 0.2500)
Al (0.0000, 0.5000, 0.7500)
Al (0.5000, 0.0000, 0.2500)
Al (0.5000, 0.0000, 0.7500)
Ag (0.0000, 0.0000, 0.3858)
Ag (0.0000, 0.0000, 0.6142)
Ag (0.5000, 0.5000, 0.1142)
Ag (0.5000, 0.5000, 0.8858)



Entry 9:
HoAl3Ag after structural relaxation, computed with PBE-GGA.

a = 7.0308 Å, b = 7.0308 Å, c = 7.0308 Å
α = 124.50°, β = 124.50°, γ = 82.37°
Fractional positions:
Ho (0.2500, 0.7500, 0.5000)
Ho (0.7500, 0.2500, 0.5000)
Al (0.1517, 0.6517, 0.8033)
Al (0.2500, 0.2500, 0.0000)
Al (0.3483, 0.1517, 0.5000)
Al (0.6517, 0.8483, 0.5000)
Al (0.7500, 0.7500, 0.0000)
Al (0.8483, 0.3483, 0.1967)
Ag (0.0000, 0.0000, 0.0000)
Ag (0.5000, 0.5000, 0.0000)



Entry 10:
HoAl6Ag after structural relaxation, computed with PBE-GGA.

a = 6.0883 Å, b = 6.0883 Å, c = 4.6175 Å
α = 90.00°, β = 90.00°, γ = 120.00°
Fractional positions:
Ho (0.0000, 0.0000, 0.0000)
Al (0.0051, 0.5026, 0.0000)
Al (0.1813, 0.3626, 0.5000)
Al (0.1813, 0.8187, 0.5000)
Al (0.4974, 0.5026, 0.0000)
Al (0.4974, 0.9949, 0.0000)
Al (0.6374, 0.8187, 0.5000)
Ag (0.6667, 0.3333, 0.5000)



Entry 11:
Ho3Mg3Al2Ag after structural relaxation, computed with PBE-GGA.

a = 7.4390 Å, b = 7.4390 Å, c = 4.3550 Å
α = 90.00°, β = 90.00°, γ = 120.00°
Fractional positions:
Ho (0.0000, 0.4198, 0.0000)
Ho (0.4198, 0.0000, 0.0000)
Ho (0.5802, 0.5802, 0.0000)
Mg (0.0000, 0.7554, 0.5000)
Mg (0.2446, 0.2446, 0.5000)
Mg (0.7554, 0.0000, 0.5000)
Al (0.3333, 0.6667, 0.5000)
Al (0.6667, 0.3333, 0.5000)
Ag (0.0000, 0.0000, 0.0000)



Entry 12:
Ho3Mg3AlAgPd after structural relaxation, computed with PBE-GGA.

a = 7.7437 Å, b = 7.7437 Å, c = 3.9450 Å
α = 90.00°, β = 90.00°, γ = 120.00°
Fractional positions:
Ho (0.0199, 0.4235, 0.0000)
Ho (0.4036, 0.9801, 0.0000)
Ho (0.5765, 0.5964, 0.0000)
Mg (0.2554, 0.2491, 0.5000)
Mg (0.7509, 0.0063, 0.5000)
Mg (0.9937, 0.7446, 0.5000)
Al (0.6667, 0.3333, 0.5000)
Ag (0.0000, 0.0000, 0.0000)
Pd (0.3333, 0.6667, 0.5000)



no.,VASP energy (eV per atom)
1,-5.319
2,-2.439
3,-2.341
4,-1.589
5,-2.552
6,-1.953
7,-3.850
8,-3.820
9,-3.524
10,-3.842
11,-3.511
12,-3.773